A plane-wave DFT calculation with GGA+U was carried out for crystalline TiMnPO2 at its relaxed geometry.

It has space group P4/mmm (No. 123), with a = 3.763 Å, b = 3.763 Å, c = 5.324 Å, α = 90.00°, β = 90.00° and γ = 90.00°. Symmetry generates all atoms from Ti at (0.000, 0.000, 0.000), Mn at (0.500, 0.500, 0.500), P at (0.000, 0.000, 0.500) and O at (0.000, 0.500, 0.000).

Its excess energy over the best structure of this formula in the dataset is 0 meV per atom. The size of the total moment is 4.4 μB per formula unit.